# 1
Computed, not measured: crystalline Pb5Br at its relaxed geometry at the PBE level of DFT.

Output
SG = Cmmm (65)
spin magnetization = 0.00 μB/atom
energy above the most stable polymorph in this dataset = 41.0 meV per atom
crystal system = orthorhombic

Unit cell a=8.718 b=8.718 c=5.057 alpha=90.00 beta=90.00 gamma=150.37
Positions (direct):
Pb1 0.000 0.000 0.000
Pb2 0.175 0.825 0.500
Pb3 0.329 0.671 0.000
Pb4 0.671 0.329 0.000
Pb5 0.825 0.175 0.500
Br1 0.500 0.500 0.500

***

# 2
Computed, not measured: crystalline TaAgPb2 at its relaxed geometry at the PBE level of DFT.

Output
SG = Cmmm (65)
spin magnetization = 0.00 μB/atom
energy above the most stable polymorph in this dataset = 114.8 meV per atom
crystal system = orthorhombic
DFT formation energy = 1.78 eV/f.u.

Unit cell a=3.180 b=3.180 c=9.646 alpha=90.00 beta=90.00 gamma=107.49
Positions (direct):
Ta1 0.000 0.000 0.000
Ag1 0.000 0.000 0.500
Pb1 0.500 0.500 0.242
Pb2 0.500 0.500 0.758

***

# 3
Computed, not measured: crystalline Ca2Cd4Ag5 at its relaxed geometry at the PBE level of DFT.

Output
SG = Immm (71)
spin magnetization = 0.00 μB/atom
crystal system = orthorhombic
DFT formation energy = -1.68 eV/f.u.

Unit cell a=7.285 b=7.285 c=7.285 alpha=132.92 beta=99.60 gamma=98.76
Positions (direct):
Ca1 0.228 0.000 0.228
Ca2 0.772 0.000 0.772
Cd1 0.088 0.338 0.750
Cd2 0.413 0.662 0.750
Cd3 0.587 0.338 0.250
Cd4 0.912 0.662 0.250
Ag1 0.000 0.500 0.500
Ag2 0.271 0.021 0.749
Ag3 0.271 0.522 0.251
Ag4 0.729 0.478 0.749
Ag5 0.729 0.979 0.251